[1]
# NdCuC2O6 (GGA-PBE, optimized geometry)
data_NdCuC2O6
_cell_length_a 5.0210
_cell_length_b 5.0210
_cell_length_c 16.6355
_cell_angle_alpha 90.00
_cell_angle_beta 90.00
_cell_angle_gamma 120.00
_space_group_name_H-M_alt 'R -3'
_space_group_IT_number 148
_space_group_name_Hall '-R 3'
loop_
_atom_site_label
_atom_site_fract_x
_atom_site_fract_y
_atom_site_fract_z
Nd1 0.0000 0.0000 0.0000
Cu1 0.0000 0.0000 0.5000
C1 0.0000 0.0000 0.2480
O1 0.0199 0.7513 0.2489
# Theoretical density: 4.5 g cm⁻³
# Raw formation energy: -1.693 eV per atom
# Uncorrected energy: -7.399 eV/atom
# Crystal system: trigonal

[2]
# NdCuPbC3O11 (GGA-PBE, optimized geometry)
data_NdCuPbC3O11
_cell_length_a 6.557
_cell_length_b 19.576
_cell_length_c 7.657
_cell_angle_alpha 90.00
_cell_angle_beta 90.00
_cell_angle_gamma 90.00
_space_group_name_H-M_alt 'P n a 21'
_space_group_IT_number 33
loop_
_space_group_symop_operation_xyz
'x,y,z'
'-x,-y,z+1/2'
'-x+1/2,y+1/2,z+1/2'
'x+1/2,-y+1/2,z'
loop_
_atom_site_label
_atom_site_fract_x
_atom_site_fract_y
_atom_site_fract_z
Nd1 0.051 0.191 0.000
Cu1 0.239 0.565 0.205
Pb1 0.146 0.857 0.998
C1 0.013 0.958 0.575
C2 0.050 0.338 0.837
C3 0.238 0.721 0.827
O1 0.017 0.393 0.742
O2 0.030 0.024 0.605
O3 0.079 0.688 0.441
O4 0.114 0.485 0.224
O5 0.116 0.144 0.708
O6 0.145 0.733 0.970
O7 0.152 0.063 0.007
O8 0.156 0.915 0.614
O9 0.159 0.164 0.302
O10 0.228 0.310 0.818
O11 0.237 0.765 0.697
# Theoretical density: 4.2 g cm⁻³
# Raw formation energy: -1.365 eV per atom
# Uncorrected energy: -6.940 eV/atom
# Crystal system: orthorhombic

[3]
# CuNi2C (GGA-PBE, optimized geometry)
data_CuNi2C
_cell_length_a 6.054
_cell_length_b 6.054
_cell_length_c 4.547
_cell_angle_alpha 90.00
_cell_angle_beta 90.00
_cell_angle_gamma 90.00
_space_group_name_H-M_alt 'I -4 2 d'
_space_group_IT_number 122
_space_group_name_Hall 'I -4 2bw'
loop_
_atom_site_label
_atom_site_fract_x
_atom_site_fract_y
_atom_site_fract_z
Cu1 0.000 0.000 0.000
Ni1 0.149 0.250 0.625
C1 0.000 0.000 0.500
# Theoretical density: 7.7 g cm⁻³
# ΔH_f (0 K): 0.36 eV per atom
# Uncorrected energy: -5.857 eV/atom
# Crystal system: tetragonal

[4]
# Cu3NiC (GGA-PBE, optimized geometry)
data_Cu3NiC
_cell_length_a 3.816
_cell_length_b 3.816
_cell_length_c 3.816
_cell_angle_alpha 90.00
_cell_angle_beta 90.00
_cell_angle_gamma 90.00
_space_group_name_H-M_alt 'P m -3 m'
_space_group_IT_number 221
_space_group_name_Hall '-P 4 2 3'
loop_
_atom_site_label
_atom_site_fract_x
_atom_site_fract_y
_atom_site_fract_z
Cu1 0.000 0.000 0.500
Ni1 0.500 0.500 0.500
C1 0.000 0.000 0.000
# Theoretical density: 7.8 g cm⁻³
# ΔH_f (0 K): 0.46 eV per atom
# Uncorrected energy: -4.996 eV/atom
# Crystal system: cubic
# Energy above the most stable polymorph in this dataset: 0 meV per atom

[5]
# CuNi3C (GGA-PBE, optimized geometry)
data_CuNi3C
_cell_length_a 4.234
_cell_length_b 4.234
_cell_length_c 4.234
_cell_angle_alpha 90.00
_cell_angle_beta 90.00
_cell_angle_gamma 90.00
_space_group_name_H-M_alt 'P m -3 m'
_space_group_IT_number 221
_space_group_name_Hall '-P 4 2 3'
loop_
_atom_site_label
_atom_site_fract_x
_atom_site_fract_y
_atom_site_fract_z
Cu1 0.000 0.000 0.000
Ni1 0.000 0.000 0.500
C1 0.500 0.500 0.500
# Theoretical density: 5.5 g cm⁻³
# ΔH_f (0 K): 2.28 eV per atom
# Uncorrected energy: -3.855 eV/atom
# Crystal system: cubic
# Energy above the most stable polymorph in this dataset: 2176 meV per atom

[6]
# CuNiC3 (GGA-PBE, optimized geometry)
data_CuNiC3
_cell_length_a 3.765
_cell_length_b 3.765
_cell_length_c 3.765
_cell_angle_alpha 90.00
_cell_angle_beta 90.00
_cell_angle_gamma 90.00
_space_group_name_H-M_alt 'P m -3 m'
_space_group_IT_number 221
_space_group_name_Hall '-P 4 2 3'
loop_
_atom_site_label
_atom_site_fract_x
_atom_site_fract_y
_atom_site_fract_z
Cu1 0.000 0.000 0.000
Ni1 0.500 0.500 0.500
C1 0.000 0.000 0.500
# Theoretical density: 4.9 g cm⁻³
# ΔH_f (0 K): 2.78 eV per atom
# Uncorrected energy: -4.731 eV/atom
# Crystal system: cubic
# Energy above the most stable polymorph in this dataset: 391 meV per atom

[7]
# Cu3NiC (GGA-PBE, optimized geometry)
data_Cu3NiC
_cell_length_a 4.306
_cell_length_b 4.306
_cell_length_c 4.306
_cell_angle_alpha 90.00
_cell_angle_beta 90.00
_cell_angle_gamma 90.00
_space_group_name_H-M_alt 'P m -3 m'
_space_group_IT_number 221
_space_group_name_Hall '-P 4 2 3'
loop_
_atom_site_label
_atom_site_fract_x
_atom_site_fract_y
_atom_site_fract_z
Cu1 0.000 0.000 0.500
Ni1 0.000 0.000 0.000
C1 0.500 0.500 0.500
# Theoretical density: 5.4 g cm⁻³
# ΔH_f (0 K): 2.11 eV per atom
# Uncorrected energy: -3.353 eV/atom
# Crystal system: cubic
# Energy above the most stable polymorph in this dataset: 1642 meV per atom

[8]
# CuNiC3 (GGA-PBE, optimized geometry)
data_CuNiC3
_cell_length_a 3.744
_cell_length_b 3.744
_cell_length_c 3.744
_cell_angle_alpha 90.00
_cell_angle_beta 90.00
_cell_angle_gamma 90.00
_space_group_name_H-M_alt 'P m -3 m'
_space_group_IT_number 221
_space_group_name_Hall '-P 4 2 3'
loop_
_atom_site_label
_atom_site_fract_x
_atom_site_fract_y
_atom_site_fract_z
Cu1 0.000 0.000 0.000
Ni1 0.500 0.500 0.500
C1 0.000 0.500 0.500
# Theoretical density: 5.0 g cm⁻³
# ΔH_f (0 K): 2.39 eV per atom
# Uncorrected energy: -5.122 eV/atom
# Crystal system: cubic
# Energy above the most stable polymorph in this dataset: 0 meV per atom

[9]
# CuNi3C (GGA-PBE, optimized geometry)
data_CuNi3C
_cell_length_a 3.739
_cell_length_b 3.739
_cell_length_c 3.739
_cell_angle_alpha 90.00
_cell_angle_beta 90.00
_cell_angle_gamma 90.00
_space_group_name_H-M_alt 'P m -3 m'
_space_group_IT_number 221
_space_group_name_Hall '-P 4 2 3'
loop_
_atom_site_label
_atom_site_fract_x
_atom_site_fract_y
_atom_site_fract_z
Cu1 0.000 0.000 0.000
Ni1 0.000 0.500 0.500
C1 0.500 0.500 0.500
# Theoretical density: 8.0 g cm⁻³
# ΔH_f (0 K): 0.10 eV per atom
# Uncorrected energy: -6.031 eV/atom
# Crystal system: cubic
# Energy above the most stable polymorph in this dataset: 0 meV per atom

[10]
# CuNiC2 (GGA-PBE, optimized geometry)
data_CuNiC2
_cell_length_a 5.146
_cell_length_b 5.146
_cell_length_c 5.146
_cell_angle_alpha 90.00
_cell_angle_beta 90.00
_cell_angle_gamma 90.00
_space_group_name_H-M_alt 'F m -3 m'
_space_group_IT_number 225
_space_group_name_Hall '-F 4 2 3'
loop_
_atom_site_label
_atom_site_fract_x
_atom_site_fract_y
_atom_site_fract_z
Cu1 0.000 0.000 0.000
Ni1 0.000 0.000 0.500
C1 0.250 0.250 0.250
# Theoretical density: 7.1 g cm⁻³
# ΔH_f (0 K): 1.68 eV per atom
# Uncorrected energy: -5.404 eV/atom
# Crystal system: cubic
# Energy above the most stable polymorph in this dataset: 386 meV per atom